# NpMn2BeO6 (PBE+U, optimized geometry)
# magnetization	7.0	μB/f.u.
# raw total energy	-8.120	eV/atom
# calculated volume	11.91	Å³ per atom
data_NpMn2BeO6
_cell_length_a 5.131
_cell_length_b 5.132
_cell_length_c 6.001
_cell_angle_alpha 90.06
_cell_angle_beta 115.20
_cell_angle_gamma 119.99
_space_group_name_H-M_alt 'P 1'
_space_group_IT_number 1
loop_
_space_group_symop_operation_xyz
'x,y,z'
loop_
_atom_site_label
_atom_site_type_symbol
_atom_site_fract_x
_atom_site_fract_y
_atom_site_fract_z
_atom_site_occupancy
Np1 Np 0.000 0.000 0.000 1
Mn1 Mn 0.607 0.804 0.411 1
Mn2 Mn 0.640 0.320 0.961 1
Be1 Be 0.157 0.578 0.734 1
O1 O 0.112 0.396 0.197 1
O2 O 0.152 0.266 0.746 1
O3 O 0.480 0.084 0.196 1
O4 O 0.481 0.886 0.746 1
O5 O 0.800 0.716 0.196 1
O6 O 0.861 0.595 0.746 1